Record 1
Computed, not measured: a geometry-optimized CoIr3 structure at the PBE-GGA level of DFT.

extended XYZ file:
```
4
Lattice="7.650 0.000 0.011 0.000 3.772 0.000 -9.578 0.000 1.887" Properties=species:S:1:pos:R:3 pbc="T T T"
Ir -7.690 1.886 1.858
Ir 3.825 0.000 0.005
Ir 5.763 1.886 0.039
Co 0.000 0.000 0.000
```

Summary:
Fermi-level density of states: 4.66 states/eV/f.u.
Energy relative to the elements: 0.017 eV per atom
Crystal system: monoclinic

***

Record 2
Computed, not measured: a geometry-optimized NaUSn2 structure at the PBE-GGA level of DFT.

extended XYZ file:
```
4
Lattice="-2.979 -0.952 0.521 0.680 -2.824 -1.272 2.690 -3.445 9.090" Properties=species:S:1:pos:R:3 pbc="T T T"
Na 0.196 -3.611 4.170
U -1.149 -1.888 -0.375
Sn 2.026 -2.595 6.845
Sn 0.664 -0.851 2.244
```

Summary:
Fermi-level density of states: 5.62 states/eV/f.u.
Energy relative to the elements: -0.082 eV per atom
Crystal system: tetragonal

***

Record 3
Computed, not measured: a geometry-optimized ZrGa3Pd structure at the PBE-GGA level of DFT.

extended XYZ file:
```
5
Lattice="4.712 0.000 0.000 0.000 4.712 0.000 0.000 0.000 4.712" Properties=species:S:1:pos:R:3 pbc="T T T"
Ga 0.000 2.356 0.000
Ga 0.000 0.000 2.356
Ga 2.356 0.000 0.000
Zr 2.356 2.356 2.356
Pd 0.000 0.000 0.000
```

Summary:
Fermi-level density of states: 2.09 states/eV/f.u.
Energy relative to the lowest polymorph listed for this composition: 0.642 eV per atom
Energy relative to the elements: 0.106 eV per atom
Crystal system: cubic

***

Record 4
Computed, not measured: a geometry-optimized SiBRhAuCS structure at the PBE-GGA level of DFT.

extended XYZ file:
```
12
Lattice="-1.879 -3.746 -2.600 0.354 -1.693 2.183 -13.033 5.359 6.268" Properties=species:S:1:pos:R:3 pbc="T T T"
C -1.322 -1.007 -0.567
C -7.662 0.826 3.658
B -5.807 0.544 1.363
B -12.147 2.377 5.588
Si -3.042 -0.829 -0.150
Si -9.382 1.004 4.075
S -6.782 1.732 2.442
S -13.122 3.565 6.668
Au -5.076 -2.189 -0.875
Au -11.416 -0.356 3.351
Rh -11.197 2.540 3.784
Rh -4.503 -0.986 1.742
```

Summary:
Fermi-level density of states: 0.87 states/eV/f.u.
Energy relative to the lowest polymorph listed for this composition: 0.199 eV per atom
Energy relative to the elements, uncorrected: 2.3 eV per formula unit
Crystal system: monoclinic